The following is a PBE calculation of a relaxed structure of SrNi2Ir, from the Alexandria database.

abc: 3.6488 2.8130 7.1678
angles: 67.07 90.00 90.00
Last column: nearest neighbours and their distance in Å.
Positions (direct):
1 Sr 0.5000 0.2500 0.2500  2 Sr 2.81, 8 Ni 3.12-3.13
2 Ni 0.0000 0.4270 0.5708  1 Ni 2.37, 4 Ir 2.59
3 Ni 0.0000 0.0730 0.9292  1 Ni 2.37, 4 Ir 2.59
4 Ir 0.5000 0.7500 0.7500  8 Ni 2.59, 2 Ir 2.81

Calculated values
- SG: P2/m, No. 10
- Formation energy: 0.233 eV/atom